DySeClO3 | Alexandria via LeMat-Bulk | GGA-PBEsol | optimized geometry; energy relative to the elements, uncorrected = -2048 meV per atom
1.0
7.128 0.000 0.000
0.000 6.925 0.000
0.000 0.000 8.775
Dy Se Cl O
4 4 4 12
direct
0.103 0.250 0.040
0.397 0.750 0.540
0.603 0.250 0.460
0.897 0.750 0.960
0.204 0.250 0.632
0.296 0.750 0.132
0.704 0.250 0.868
0.796 0.750 0.368
0.056 0.750 0.680
0.444 0.250 0.180
0.556 0.750 0.820
0.944 0.250 0.320
0.144 0.572 0.066
0.144 0.928 0.066
0.249 0.750 0.321
0.251 0.250 0.821
0.356 0.072 0.566
0.356 0.428 0.566
0.644 0.572 0.434
0.644 0.928 0.434
0.749 0.750 0.179
0.751 0.250 0.679
0.856 0.072 0.934
0.856 0.428 0.934